(1)
Compound: CePmSmTl
Source: Alexandria
Functional: PBE
Structure: optimized geometry

* volume: 117.6 Å³/cell
* space group: F-43m (216)
* E_form: -0.003 eV/atom

Cell: 5.4992 5.4992 5.4992 Å, 60.00 60.00 60.00°
Each line ends with the local moment (μB).
Fractional positions:
Tl1 0.2500 0.2500 0.2500  -0.01
Pm1 0.0000 0.0000 0.0000  -0.01
Sm1 0.5000 0.5000 0.5000  0.00
Ce1 0.7500 0.7500 0.7500  0.28


(2)
Compound: Ce2PmSm3Tm6
Source: Alexandria
Functional: PBE
Structure: optimized geometry

* volume: 374.1 Å³/cell
* space group: C2/m (12)
* E_form: 0.047 eV/atom

Cell: 6.1407 6.1407 11.6360 Å, 95.05 95.05 119.98°
Each line ends with the local moment (μB).
Fractional positions:
Ce1 0.6666 0.3334 0.0000  0.72
Ce2 0.3334 0.6666 0.0000  0.72
Sm1 0.1660 0.8340 0.5000  -0.01
Sm2 0.8340 0.1660 0.5000  -0.01
Sm3 0.5000 0.5000 0.5000  -0.01
Tm1 0.9170 0.5814 0.7520  0.02
Tm2 0.7474 0.7474 0.2480  0.01
Tm3 0.5814 0.9170 0.7520  0.02
Tm4 0.2526 0.2526 0.7520  0.01
Tm5 0.4186 0.0830 0.2480  0.02
Tm6 0.0830 0.4186 0.2480  0.02
Pm1 0.0000 0.0000 0.0000  0.01


(3)
Compound: CePmSm6Tm2
Source: Alexandria
Functional: PBE
Structure: optimized geometry

* volume: 337.5 Å³/cell
* space group: C2/m (12)
* E_form: 0.246 eV/atom

Cell: 8.9213 6.8634 6.6406 Å, 121.12 102.12 90.00°
Each line ends with the local moment (μB).
Fractional positions:
Tm1 0.1629 0.0904 0.1808  0.06
Tm2 0.8371 0.9096 0.8192  0.06
Sm1 0.8025 0.9318 0.3389  0.04
Sm2 0.1975 0.0682 0.6611  0.04
Sm3 0.1975 0.5930 0.6611  0.04
Sm4 0.8025 0.4070 0.3389  0.04
Sm5 0.4172 0.6302 0.2605  0.05
Sm6 0.5828 0.3698 0.7395  0.05
Ce1 0.0000 0.5000 0.0000  0.80
Pm1 0.5000 0.0000 0.0000  0.00


(4)
Compound: CePm3Sm6Tm2
Source: Alexandria
Functional: PBE
Structure: optimized geometry

* volume: 397.9 Å³/cell
* space group: C2/m (12)
* E_form: 0.039 eV/atom

Cell: 6.2447 6.2447 11.9649 Å, 95.01 95.01 120.00°
Each line ends with the local moment (μB).
Fractional positions:
Sm1 0.0821 0.4138 0.2460  0.01
Sm2 0.7503 0.7503 0.2461  0.01
Sm3 0.4138 0.0821 0.2460  0.01
Sm4 0.5862 0.9179 0.7540  0.01
Sm5 0.2497 0.2497 0.7539  0.01
Sm6 0.9179 0.5862 0.7540  0.01
Pm1 0.5000 0.5000 0.5000  -0.01
Pm2 0.8327 0.1673 0.5000  0.00
Pm3 0.1673 0.8327 0.5000  0.00
Tm1 0.3334 0.6666 0.0000  0.07
Tm2 0.6666 0.3334 0.0000  0.07
Ce1 0.0000 0.0000 0.0000  0.82


(5)
Compound: CePmSmTm
Source: Alexandria
Functional: PBE
Structure: optimized geometry

* volume: 131.6 Å³/cell
* space group: F-43m (216)
* E_form: 0.195 eV/atom

Cell: 5.7091 5.7091 5.7091 Å, 60.00 60.00 60.00°
Each line ends with the local moment (μB).
Fractional positions:
Sm1 0.2500 0.2500 0.2500  0.31
Ce1 0.0000 0.0000 0.0000  1.13
Tm1 0.5000 0.5000 0.5000  0.40
Pm1 0.7500 0.7500 0.7500  0.33


(6)
Compound: CePm6SmTm2
Source: Alexandria
Functional: PBE
Structure: optimized geometry

* volume: 339.7 Å³/cell
* space group: C2/m (12)
* E_form: 0.242 eV/atom

Cell: 8.8857 6.9492 6.6367 Å, 121.57 101.36 90.00°
Each line ends with the local moment (μB).
Fractional positions:
Pm1 0.8007 0.4053 0.3401  0.02
Pm2 0.5816 0.3702 0.7404  0.03
Pm3 0.8007 0.9348 0.3401  0.02
Pm4 0.1993 0.5947 0.6599  0.02
Pm5 0.4184 0.6298 0.2596  0.03
Pm6 0.1993 0.0652 0.6599  0.02
Tm1 0.8390 0.9087 0.8175  0.04
Tm2 0.1610 0.0913 0.1825  0.04
Ce1 0.0000 0.5000 0.0000  0.78
Sm1 0.5000 0.0000 0.0000  -0.01


(7)
Compound: CePmSm2Y
Source: Alexandria
Functional: PBE
Structure: optimized geometry

* volume: 337.0 Å³/cell
* space group: Pmma (51)
* E_form: 0.281 eV/atom

Cell: 7.1635 7.8349 6.0052 Å, 90.02 90.00 90.00°
Each line ends with the local moment (μB).
Fractional positions:
Sm1 0.3138 0.2920 0.2501  0.04
Sm2 0.3138 0.7080 0.2499  0.04
Sm3 0.6862 0.2920 0.7501  0.04
Sm4 0.6862 0.7080 0.7499  0.04
Pm1 0.8398 0.5000 0.2500  0.02
Pm2 0.1602 0.5000 0.7500  0.02
Ce1 0.0000 0.0000 0.0000  0.99
Ce2 0.0000 0.0000 0.5000  0.99
Y1 0.3934 0.0000 0.7500  0.06
Y2 0.6066 0.0000 0.2500  0.06


(8)
Compound: CePmSmY
Source: Alexandria
Functional: PBE
Structure: optimized geometry

* volume: 134.0 Å³/cell
* space group: F-43m (216)
* E_form: 0.192 eV/atom

Cell: 5.7446 5.7446 5.7446 Å, 60.00 60.00 60.00°
Each line ends with the local moment (μB).
Fractional positions:
Pm1 0.5000 0.5000 0.5000  0.32
Sm1 0.0000 0.0000 0.0000  0.30
Y1 0.7500 0.7500 0.7500  0.29
Ce1 0.2500 0.2500 0.2500  1.12


(9)
Compound: CePmSm2Y5
Source: Alexandria
Functional: PBE
Structure: optimized geometry

* volume: 590.1 Å³/cell
* space group: I4/mcm (140)
* E_form: 0.258 eV/atom

Cell: 8.7081 8.7081 9.9233 Å, 116.03 116.03 90.00°
Each line ends with the local moment (μB).
Fractional positions:
Ce1 0.7500 0.2500 0.5000  0.77
Ce2 0.2500 0.7500 0.5000  0.77
Y1 0.0635 0.5635 0.7241  0.04
Y2 0.4365 0.3394 0.2759  0.04
Y3 0.8394 0.9365 0.2759  0.04
Y4 0.6606 0.1606 0.7241  0.04
Y5 0.1606 0.0635 0.7241  0.04
Y6 0.3394 0.8394 0.2759  0.04
Y7 0.0000 0.0000 0.0000  -0.02
Y8 0.5000 0.5000 0.0000  -0.02
Y9 0.9365 0.4365 0.2759  0.04
Y10 0.5635 0.6606 0.7241  0.04
Pm1 0.7500 0.7500 0.5000  0.00
Pm2 0.2500 0.2500 0.5000  0.00
Sm1 0.6194 0.1194 0.0000  -0.02
Sm2 0.1194 0.3806 0.0000  -0.02
Sm3 0.3806 0.8806 0.0000  -0.02
Sm4 0.8806 0.6194 0.0000  -0.02


(10)
Compound: Ce2PmSm3Y6
Source: Alexandria
Functional: PBE
Structure: optimized geometry

* volume: 389.8 Å³/cell
* space group: C2/m (12)
* E_form: 0.048 eV/atom

Cell: 6.2183 6.2183 11.8221 Å, 95.03 95.03 120.00°
Each line ends with the local moment (μB).
Fractional positions:
Ce1 0.3334 0.6666 0.0000  0.76
Ce2 0.6666 0.3334 0.0000  0.76
Sm1 0.1661 0.8339 0.5000  -0.01
Sm2 0.8339 0.1661 0.5000  -0.01
Sm3 0.5000 0.5000 0.5000  -0.01
Y1 0.7473 0.7473 0.2479  0.01
Y2 0.4184 0.0829 0.2479  0.01
Y3 0.0829 0.4184 0.2479  0.01
Y4 0.2527 0.2527 0.7521  0.01
Y5 0.9171 0.5816 0.7521  0.01
Y6 0.5816 0.9171 0.7521  0.01
Pm1 0.0000 0.0000 0.0000  0.01


(11)
Compound: Ce2Pm3SmY6
Source: Alexandria
Functional: PBE
Structure: optimized geometry

* volume: 391.0 Å³/cell
* space group: C2/m (12)
* E_form: 0.047 eV/atom

Cell: 6.2265 6.2265 11.8281 Å, 95.03 95.03 120.00°
Each line ends with the local moment (μB).
Fractional positions:
Pm1 0.8339 0.1661 0.5000  -0.01
Pm2 0.1661 0.8339 0.5000  -0.01
Pm3 0.5000 0.5000 0.5000  -0.01
Ce1 0.3334 0.6666 0.0000  0.76
Ce2 0.6666 0.3334 0.0000  0.76
Y1 0.0825 0.4180 0.2472  0.01
Y2 0.5820 0.9175 0.7528  0.01
Y3 0.4180 0.0825 0.2472  0.01
Y4 0.2530 0.2530 0.7527  0.01
Y5 0.7470 0.7470 0.2473  0.01
Y6 0.9175 0.5820 0.7528  0.01
Sm1 0.0000 0.0000 0.0000  0.01


(12)
Compound: CePm2Sm3Y6
Source: Alexandria
Functional: PBE
Structure: optimized geometry

* volume: 394.6 Å³/cell
* space group: C2/m (12)
* E_form: 0.033 eV/atom

Cell: 6.2479 6.2479 11.8549 Å, 95.03 95.03 120.00°
Each line ends with the local moment (μB).
Fractional positions:
Pm1 0.6666 0.3334 0.0000  0.01
Pm2 0.3334 0.6666 0.0000  0.01
Y1 0.4140 0.0830 0.2494  0.01
Y2 0.5860 0.9170 0.7506  0.01
Y3 0.2481 0.2481 0.7505  0.01
Y4 0.7519 0.7519 0.2495  0.01
Y5 0.0830 0.4140 0.2494  0.01
Y6 0.9170 0.5860 0.7506  0.01
Sm1 0.1674 0.8326 0.5000  -0.01
Sm2 0.8326 0.1674 0.5000  -0.01
Sm3 0.5000 0.5000 0.5000  -0.01
Ce1 0.0000 0.0000 0.0000  0.79